# 1
## SbAs2PbBr (PBEsol)

Data for an optimized crystal structure of SbAs2PbBr.

Its size of the total moment is 0.00 μB per formula unit. The energy relative to the elements, uncorrected is 462.9 meV per atom.

```
5
Lattice="5.241 0.000 0.000 0.000 5.241 0.000 0.000 0.000 5.404" Properties=species:S:1:pos:R:3 pbc="T T T"
As 2.620 0.000 0.000
Sb 0.000 0.000 0.000
Br 0.000 0.000 2.702
As 0.000 2.620 0.000
Pb 2.620 2.620 2.702
```



# 2
## PrSb (PBEsol)

Data for an optimized crystal structure of PrSb.

Its size of the total moment is 0.00 μB per formula unit. The energy relative to the elements, uncorrected is -1198.3 meV per atom.

```
2
Lattice="4.489 0.000 0.000 2.245 3.888 0.000 2.245 1.296 3.665" Properties=species:S:1:pos:R:3 pbc="T T T"
Sb 4.489 2.592 1.833
Pr 0.000 0.000 0.000
```



# 3
## MgCuO2 (PBEsol)

Data for an optimized crystal structure of MgCuO2.

Its size of the total moment is 0.00 μB per formula unit. The energy relative to the elements, uncorrected is -1589.0 meV per atom.

```
8
Lattice="-2.715 -2.233 1.990 2.919 -2.566 1.101 0.644 4.878 2.253" Properties=species:S:1:pos:R:3 pbc="T T T"
Mg -0.985 0.122 2.894
O -0.632 1.296 4.693
O 0.392 1.305 2.000
Cu 0.000 0.000 0.000
O -1.338 -1.051 1.096
Mg 0.102 -2.400 1.546
O 0.455 -1.227 3.344
Cu 1.832 -0.044 2.450
```



# 4
## Mg3Cd (PBEsol)

Data for an optimized crystal structure of Mg3Cd.

Its size of the total moment is 0.00 μB per formula unit. The energy of formation from the pure elements comes out at -0.0414 eV/atom.

```
8
Lattice="-3.490 -3.152 1.337 4.312 -1.660 -1.598 3.015 0.078 8.055" Properties=species:S:1:pos:R:3 pbc="T T T"
Mg 1.885 -2.583 7.772
Mg 2.261 0.059 6.042
Mg 0.754 0.020 2.014
Cd 3.972 -2.099 5.422
Mg 0.858 -2.609 5.028
Mg 1.951 -2.151 0.022
Mg 2.978 -2.125 2.766
Cd -0.136 -2.635 2.372
```



# 5
## LaTlPb2 (PBEsol)

Data for an optimized crystal structure of LaTlPb2.

Its size of the total moment is 0.00 μB per formula unit. The energy of formation from the pure elements comes out at -0.4785 eV/atom.

```
4
Lattice="4.822 0.000 0.000 0.000 4.822 0.000 0.000 0.000 4.858" Properties=species:S:1:pos:R:3 pbc="T T T"
Pb 2.411 0.000 0.000
Tl 2.411 2.411 2.429
La 0.000 0.000 2.429
Pb 0.000 2.411 0.000
```



# 6
## AlCd2Se (PBEsol)

Data for an optimized crystal structure of AlCd2Se.

The calculation puts the energy above the lowest structure with this stoichiometry at 0.1426 eV per atom. Its size of the total moment is 0.00 μB per formula unit. The energy relative to the elements, uncorrected is -55.9 meV per atom.

```
4
Lattice="3.523 0.000 0.000 0.000 4.422 0.000 -1.762 -2.211 5.532" Properties=species:S:1:pos:R:3 pbc="T T T"
Se 1.762 2.211 0.609
Cd 1.762 0.000 3.029
Al 0.000 2.211 2.462
Cd 1.762 2.211 4.965
```



# 7
## MnTe2Au (PBEsol)

Data for an optimized crystal structure of MnTe2Au.

The calculation puts the energy above the lowest structure with this stoichiometry at 0.0000 eV per atom. Its size of the total moment is 2.38 μB per formula unit. The energy relative to the elements, uncorrected is 40.0 meV per atom.

```
4
Lattice="-1.970 1.856 2.505 -1.135 -1.691 3.075 5.841 2.278 5.620" Properties=species:S:1:pos:R:3 pbc="T T T"
Mn 1.368 1.222 5.600
Te 3.657 1.572 4.426
Te -0.922 0.871 6.773
Au 0.000 0.000 0.000
```



# 8
## BaNa2NbP (PBEsol)

Data for an optimized crystal structure of BaNa2NbP.

Its size of the total moment is 1.57 μB per formula unit. The energy of formation from the pure elements comes out at 1.7940 eV/atom.

```
5
Lattice="-1.466 -2.362 4.377 -0.886 -4.637 -2.798 5.189 -1.539 0.908" Properties=species:S:1:pos:R:3 pbc="T T T"
Nb -0.733 -1.181 2.189
Na -0.443 -2.318 -1.399
Ba 0.000 0.000 0.000
Na 2.594 -0.769 0.454
P 1.418 -4.269 1.243
```



# 9
## TlPtW2F (PBEsol)

Data for an optimized crystal structure of TlPtW2F.

Its size of the total moment is 0.00 μB per formula unit. The energy relative to the elements, uncorrected is 869.1 meV per atom.

```
5
Lattice="4.060 0.000 0.000 0.000 4.060 0.000 0.000 0.000 4.885" Properties=species:S:1:pos:R:3 pbc="T T T"
W 0.000 2.030 0.000
Tl 0.000 0.000 2.443
F 0.000 0.000 0.000
W 2.030 0.000 0.000
Pt 2.030 2.030 2.443
```



# 10
## YTi3Cu (PBEsol)

Data for an optimized crystal structure of YTi3Cu.

Its size of the total moment is 0.66 μB per formula unit. The energy of formation from the pure elements comes out at 1.6974 eV/atom.

```
5
Lattice="4.651 0.000 0.000 0.000 4.651 0.000 0.000 0.000 4.651" Properties=species:S:1:pos:R:3 pbc="T T T"
Y 0.000 0.000 0.000
Ti 2.326 0.000 0.000
Ti 0.000 0.000 2.326
Ti 0.000 2.326 0.000
Cu 2.326 2.326 2.326
```



# 11
## CaBe3Rh (PBEsol)

Data for an optimized crystal structure of CaBe3Rh.

Its size of the total moment is 0.00 μB per formula unit. The energy of formation from the pure elements comes out at -0.0901 eV/atom.

```
5
Lattice="4.259 0.000 0.000 0.000 4.259 0.000 0.000 0.000 4.259" Properties=species:S:1:pos:R:3 pbc="T T T"
Ca 2.130 2.130 2.130
Be 2.130 0.000 0.000
Be 0.000 2.130 0.000
Be 0.000 0.000 2.130
Rh 0.000 0.000 0.000
```



# 12
## Sr2SCl (PBEsol)

Data for an optimized crystal structure of Sr2SCl.

The calculation puts the energy above the lowest structure with this stoichiometry at 0.0000 eV per atom. Its size of the total moment is 0.00 μB per formula unit. The energy relative to the elements, uncorrected is -1711.2 meV per atom.

```
4
Lattice="-3.753 1.036 3.274 -1.859 -3.677 2.984 0.933 0.067 5.001" Properties=species:S:1:pos:R:3 pbc="T T T"
Cl -2.340 -1.287 5.629
S 0.000 0.000 0.000
Sr -3.510 -1.931 8.444
Sr -1.170 -0.644 2.815
```



Q: size of the total moment of number 5 (LaTlPb2)?
A: 0.00 μB per formula unit